Record 1
## Nd4IrI2Cl (PBE-GGA)

Data for a geometry-optimized Nd4IrI2Cl structure.

Cell lengths 7.551, 4.191, 8.340 Å; angles 90.00, 107.65, 90.00 degrees
Space group P2/m (No. 10)
Symmetry-distinct sites (fractional):
Nd: 0.203 0.000 0.195 (multiplicity 2)
Nd: 0.251 0.500 0.810 (multiplicity 2)
Ir: 0.000 0.500 0.000 (multiplicity 1)
I: 0.000 0.000 0.500 (multiplicity 1)
I: 0.500 0.500 0.500 (multiplicity 1)
Cl: 0.500 0.000 0.000 (multiplicity 1)

Computed properties:
The density of states at the Fermi level is 0.486 states/eV per atom. The value obtained for the total energy is -5.1364 eV/atom. The calculation puts the mass density at 7.0 g/cm³. For the formation energy from raw total energies, the calculation gives -1.026 eV per atom. The volume comes out at 31.4 Å³/atom.

Record 2
## Nd3IrICl (PBE-GGA)

Data for a geometry-optimized Nd3IrICl structure.

Cell lengths 9.711, 4.154, 9.904 Å; angles 90.00, 93.33, 90.00 degrees
Space group P2_1/m (No. 11)
Symmetry-distinct sites (fractional):
Nd: 0.079 0.250 0.351 (multiplicity 2)
Nd: 0.152 0.250 0.926 (multiplicity 2)
Nd: 0.321 0.750 0.644 (multiplicity 2)
Ir: 0.124 0.250 0.647 (multiplicity 2)
I: 0.388 0.750 0.325 (multiplicity 2)
Cl: 0.359 0.750 0.932 (multiplicity 2)

Computed properties:
The density of states at the Fermi level is 0.636 states/eV per atom. The value obtained for the total energy is -5.5043 eV/atom. The calculation puts the mass density at 6.6 g/cm³. For the formation energy from raw total energies, the calculation gives -1.077 eV per atom. The volume comes out at 33.2 Å³/atom.

Record 3
## Nd8Ir3I4Cl (PBE-GGA)

Data for a geometry-optimized Nd8Ir3I4Cl structure.

Cell lengths 8.5550, 8.5550, 24.1473 Å; angles 90.00, 90.00, 120.00 degrees
Space group R-3m (No. 166, hexagonal axes)
Symmetry-distinct sites (fractional):
Nd: 0.0000 0.0000 0.2276 (multiplicity 6)
Nd: 0.0250 0.5125 0.7703 (multiplicity 18)
Ir: 0.0000 0.5000 0.5000 (multiplicity 9)
I: 0.0000 0.0000 0.0000 (multiplicity 3)
I: 0.0000 0.5000 0.0000 (multiplicity 9)
Cl: 0.0000 0.0000 0.5000 (multiplicity 3)

Computed properties:
The density of states at the Fermi level is 0.546 states/eV per atom. The value obtained for the total energy is -5.5490 eV/atom. The calculation puts the mass density at 7.4 g/cm³. For the formation energy from raw total energies, the calculation gives -1.001 eV per atom. The volume comes out at 31.9 Å³/atom.

Record 4
## P2IrICl (PBE-GGA)

Data for a geometry-optimized P2IrICl structure.

Cell lengths 4.666, 4.666, 4.980 Å; angles 90.00, 90.00, 90.00 degrees
Space group P4/mmm (No. 123)
Symmetry-distinct sites (fractional):
P: 0.000 0.500 0.000 (multiplicity 2)
Ir: 0.000 0.000 0.000 (multiplicity 1)
I: 0.500 0.500 0.500 (multiplicity 1)
Cl: 0.000 0.000 0.500 (multiplicity 1)

Computed properties:
The density of states at the Fermi level is 0.839 states/eV per atom. The value obtained for the total energy is -4.2020 eV/atom. The calculation puts the mass density at 6.4 g/cm³. For the formation energy from raw total energies, the calculation gives 0.413 eV per atom. The calculation puts the energy above the lowest structure with this stoichiometry at 0.0 meV per atom. The volume comes out at 21.7 Å³/atom.